Entry 1:
A relaxed La4TmTl3 crystal, computed with PBE.

Geometry as POSCAR:
```
La4TmTl3
1.0
-2.726 2.200 1.732
-3.281 -4.575 0.646
4.917 -2.064 10.359
Tm La Tl
1 4 3
direct
0.500 0.500 0.000 Tm
0.000 0.500 0.260 La
0.000 0.500 0.740 La
0.000 0.000 0.000 La
0.000 0.000 0.500 La
0.500 0.500 0.500 Tl
0.500 0.000 0.237 Tl
0.500 0.000 0.763 Tl
```

Properties
- Energy relative to the elements: -275 meV/atom
- Space group: Pmmm (47)

***

Entry 2:
A relaxed LaTm5Tl3 crystal, computed with PBE.

Geometry as POSCAR:
```
LaTm5Tl3
1.0
6.722 0.000 0.000
0.000 9.326 0.000
0.000 -4.663 8.075
Tl La Tm
6 2 10
direct
0.750 0.000 0.657 Tl
0.250 0.658 0.657 Tl
0.250 0.000 0.343 Tl
0.750 0.342 0.343 Tl
0.250 0.343 0.000 Tl
0.750 0.657 0.000 Tl
0.000 0.000 0.000 La
0.500 0.000 0.000 La
0.750 0.670 0.670 Tm
0.750 0.000 0.330 Tm
0.000 0.667 0.333 Tm
0.750 0.330 0.000 Tm
0.250 0.670 0.000 Tm
0.500 0.333 0.667 Tm
0.000 0.333 0.667 Tm
0.250 0.000 0.670 Tm
0.500 0.667 0.333 Tm
0.250 0.330 0.330 Tm
```

Properties
- Energy relative to the elements: -243 meV/atom
- Space group: P6_3/mcm (193)

***

Energy per entry: -4.185, -4.064 eV per atom